(1)
The following is a DFT calculation (PBE-GGA) of crystalline Sm4Cd2Sb at its relaxed geometry.

Cell and atoms, written as extended XYZ:
```
7
Lattice="5.0495 0.0000 1.5776 2.2783 4.5063 1.5776 -0.1438 -0.0884 9.3301" Properties=species:S:1:pos:R:3 pbc="T T T"
Sb 0.0000 0.0000 0.0000
Sm 6.3408 3.8993 6.3144
Sm 0.8433 0.5186 6.1708
Sm 4.5374 2.7903 3.2166
Sm 2.6466 1.6276 9.2686
Cd 5.4237 3.3353 9.2497
Cd 1.7603 1.0825 3.2355
```

Output
uncorrected formation energy: -2.1 eV/f.u.
crystal system: trigonal
Fermi-level density of states: 9.02 states/eV/cell
total magnetic moment: 0.000 μB per formula unit

***

(2)
The following is a DFT calculation (PBE-GGA) of crystalline MgIn5Pt3 at its relaxed geometry.

Cell and atoms, written as extended XYZ:
```
18
Lattice="6.4413 0.0000 0.0000 -3.2207 6.8199 -2.2513 0.0000 -0.0001 9.1098" Properties=species:S:1:pos:R:3 pbc="T T T"
Mg 4.8209 -0.0001 6.8324
Mg 1.6204 0.0000 2.2775
In 1.6050 -0.0001 6.8324
In 1.5975 4.5712 6.8278
In 4.8287 2.2492 -0.0102
In 1.6232 2.2487 0.0308
In 1.6080 4.5707 2.3138
In 4.8363 0.0000 2.2775
In -1.5975 4.5712 2.2729
In 4.8181 2.2486 4.5857
In 1.6127 2.2491 4.5448
In -1.6080 4.5707 6.8687
Pt 0.0000 0.0000 0.0000
Pt 3.2251 2.2734 2.2881
Pt 0.0000 0.0000 4.5549
Pt -0.0045 4.5464 4.5705
Pt 3.2162 2.2734 6.8430
Pt 0.0045 4.5464 0.0155
```

Output
formation energy from the elements: -12.27 kcal/mol of atoms
crystal system: monoclinic
Fermi-level density of states: 8.51 states/eV/cell
total magnetic moment: 0.000 μB per formula unit

***

(3)
The following is a DFT calculation (PBE-GGA) of crystalline TiFeNiP at its relaxed geometry.

Cell and atoms, written as extended XYZ:
```
4
Lattice="3.6369 0.0000 -0.0102 0.0000 2.9275 0.0000 -1.8066 0.0000 4.7680" Properties=species:S:1:pos:R:3 pbc="T T T"
Ti 2.5552 1.4637 0.6729
Fe -1.0714 0.0000 4.6903
Ni 0.7411 0.0000 2.5563
P -1.0754 1.4637 3.0808
```

Output
formation energy from the elements: -9.75 kcal/mol of atoms
crystal system: orthorhombic
Fermi-level density of states: 3.31 states/eV/cell
total magnetic moment: 0.002 μB per formula unit

***

(4)
The following is a DFT calculation (PBE-GGA) of crystalline Ca2MnAl at its relaxed geometry.

Cell and atoms, written as extended XYZ:
```
4
Lattice="5.0659 -0.4967 0.0000 0.4984 5.0658 0.0000 -2.7822 -2.2846 3.5987" Properties=species:S:1:pos:R:3 pbc="T T T"
Ca 0.0000 0.0000 0.0000
Ca 0.2492 2.5329 1.7994
Mn 2.7822 2.2845 0.0000
Al 2.5330 -0.2483 1.7994
```

Output
formation energy from the elements: 3.94 kcal/mol of atoms
crystal system: cubic
Fermi-level density of states: 2.70 states/eV/cell
total magnetic moment: 3.871 μB per formula unit

***

(5)
The following is a DFT calculation (PBE-GGA) of crystalline Ac2ZnH at its relaxed geometry.

Cell and atoms, written as extended XYZ:
```
4
Lattice="3.9942 0.0000 0.0000 1.9971 3.4591 0.0000 1.9971 1.1530 9.3285" Properties=species:S:1:pos:R:3 pbc="T T T"
H 0.0000 0.0000 0.0000
Ac 1.9971 1.1530 7.0146
Ac 5.9914 3.4591 2.3140
Zn 3.9942 2.3061 4.6643
```

Output
crystal system: trigonal
E_tot: -3.19 eV/atom
Fermi-level density of states: 2.52 states/eV/cell
total magnetic moment: 0.000 μB per formula unit

***

(6)
The following is a DFT calculation (PBE-GGA) of crystalline BeCdCu2 at its relaxed geometry.

Cell and atoms, written as extended XYZ:
```
4
Lattice="0.0000 2.9970 2.9970 2.9970 0.0000 2.9970 2.9970 2.9970 0.0000" Properties=species:S:1:pos:R:3 pbc="T T T"
Be 0.0000 0.0000 0.0000
Cu 1.4985 1.4985 1.4985
Cu 4.4954 4.4954 4.4954
Cd 2.9970 2.9970 2.9970
```

Output
formation energy from the elements: 4.43 kcal/mol of atoms
crystal system: cubic
Fermi-level density of states: 1.15 states/eV/cell
total magnetic moment: 0.000 μB per formula unit